No. 1
The following is a PBE calculation of a relaxed structure of TmLuPdPb, from the Alexandria database.

Lattice parameters (Å, degrees): 5.130 5.130 5.130 60.00 60.00 60.00
Sites, in units of the cell vectors:
Pb  0.500  0.500  0.500
Lu  0.750  0.750  0.750
Tm  0.250  0.250  0.250
Pd  0.000  0.000  0.000

Its formation energy is -0.610 eV/atom. For the total energy, the calculation gives -0.37363 Ry/atom. As for the symmetry: F-43m (216).


No. 2
The following is a PBE calculation of a relaxed structure of YAgTe2O, from the Alexandria database.

Lattice parameters (Å, degrees): 6.170 4.048 6.170 90.00 90.00 90.00
Sites, in units of the cell vectors:
Y  0.000  0.000  0.000
Te  0.000  0.000  0.500
Te  0.500  0.000  0.000
O  0.000  0.500  0.000
Ag  0.500  0.500  0.500

The offset from the most stable computed form comes out at 0 meV per atom. For the total energy, the calculation gives -0.34932 Ry/atom. As for the symmetry: P4/mmm (123).


> The highest total energy belongs to which entry?

YAgTe2O


> Which value of total energy does entry 1 give?

-0.37363 Ry/atom


> Among the records above, which one has the highest total energy?

YAgTe2O


> Look up the total energy of the first one.

-0.37363 Ry/atom